Compound: Li7PmBi4
Source: Alexandria via LeMat-Bulk
Functional: GGA-PBE
Structure: relaxed

Results
E	-37.35	eV/cell
space-group type	C2/m (12)
M_tot	0.0547	μB/atom
formation energy from the elements	-3.7	eV per formula unit

a = 6.859 Å, b = 6.859 Å, c = 10.423 Å
α = 122.18°, β = 122.18°, γ = 44.59°
Atoms (fractional coordinates):
Li 0.000 0.000 0.000
Li 0.182 0.182 0.902
Li 0.203 0.203 0.633
Li 0.408 0.408 0.561
Li 0.592 0.592 0.439
Li 0.797 0.797 0.367
Li 0.818 0.818 0.098
Pm 0.500 0.500 0.000
Bi 0.088 0.088 0.300
Bi 0.300 0.300 0.219
Bi 0.700 0.700 0.781
Bi 0.912 0.912 0.700